Computed, not measured: a relaxed NpMn2SiO6 crystal at the GGA+U level of DFT.

Structure (POSCAR):
```
NpMn2SiO6
1.0
5.152 0.008 -0.003
2.583 4.477 -0.016
2.574 1.479 4.701
O Si Mn Np
6 1 2 1
direct
0.693 0.141 0.780 O
0.241 0.964 0.223 O
0.142 0.387 0.778 O
0.386 0.694 0.779 O
0.571 0.240 0.224 O
0.966 0.565 0.228 O
0.321 0.323 0.032 Si
0.524 0.524 0.430 Mn
0.004 0.010 0.977 Mn
0.812 0.813 0.564 Np
```

Output
calculated total energy = -8.050 eV/atom
magnetic moment = 5.000 μB per formula unit